Record 1
First-principles (PBE) data for TbDy2Sb after structural relaxation, as listed in the Alexandria database.

Unit cell a=3.9486 b=3.9486 c=9.9557 alpha=78.56 beta=78.56 gamma=60.00
With the nearest neighbours (Å) after each atom.
Element x y z (fractional)
Dy 0.2659 0.2659 0.2024  3 Sb 3.01
Dy 0.7341 0.7341 0.7976  3 Sb 3.01
Tb 0.5000 0.5000 0.5000  6 Dy 3.68, 6 Tb 3.95
Sb 0.0000 0.0000 0.0000  6 Dy 3.01

Values from the calculation:
- Space-group type: R-3m
- Energy relative to the elements, uncorrected: -0.292 eV per atom
- Energy above the most stable polymorph in this dataset: 0.261 eV/atom
- Calculated volume: 32.71 Å³ per atom

Record 2
First-principles (PBE) data for Nd2Sn5Hg after structural relaxation, as listed in the Alexandria database.

Unit cell a=4.7211 b=6.7245 c=13.4752 alpha=90.00 beta=90.00 gamma=90.00
With the nearest neighbours (Å) after each atom.
Element x y z (fractional)
Sn 0.0000 0.0089 0.7522  4 Nd 3.34, 7 Sn 3.34-3.39, 1 Hg 3.40
Sn 0.5000 0.2561 0.8771  2 Hg 3.32, 6 Sn 3.34-3.39, 4 Nd 3.35-3.38
Sn 0.0000 0.0000 0.0000  6 Sn 3.34-3.36, 4 Nd 3.35, 2 Hg 3.36
Sn 0.0000 0.5089 0.7478  4 Nd 3.34, 7 Sn 3.34-3.39, 1 Hg 3.40
Sn 0.0000 0.5000 0.5000  6 Sn 3.34-3.36, 4 Nd 3.35, 2 Hg 3.36
Sn 0.5000 0.7439 0.1229  2 Hg 3.32, 6 Sn 3.34-3.39, 4 Nd 3.35-3.38
Sn 0.0000 0.9911 0.2478  4 Nd 3.34, 7 Sn 3.34-3.39, 1 Hg 3.40
Sn 0.5000 0.2439 0.3771  2 Hg 3.32, 6 Sn 3.34-3.39, 4 Nd 3.35-3.38
Sn 0.5000 0.7561 0.6229  2 Hg 3.32, 6 Sn 3.34-3.39, 4 Nd 3.35-3.38
Sn 0.0000 0.4911 0.2522  4 Nd 3.34, 7 Sn 3.34-3.39, 1 Hg 3.40
Nd 0.5000 0.7455 0.3725  10 Sn 3.34-3.38, 2 Hg 3.38
Nd 0.5000 0.7545 0.8725  10 Sn 3.34-3.38, 2 Hg 3.38
Nd 0.5000 0.2545 0.6275  10 Sn 3.34-3.38, 2 Hg 3.38
Nd 0.5000 0.2455 0.1275  10 Sn 3.34-3.38, 2 Hg 3.38
Hg 0.0000 0.5000 0.0000  8 Sn 3.32-3.40, 4 Nd 3.38
Hg 0.0000 0.0000 0.5000  8 Sn 3.32-3.40, 4 Nd 3.38

Values from the calculation:
- E_form: -0.513 eV/atom
- Space-group type: Pbam
- Calculated volume: 26.74 Å³ per atom